PmCoIrO6 | PBE with a Hubbard U | relaxed

Cell lengths 5.525, 5.525, 8.405 Å; angles 90.00, 90.00, 120.00 degrees
Fractional positions:
Pm: 0.333 0.667 0.250
Pm: 0.667 0.333 0.750
Co: 0.000 0.000 0.000
Co: 0.000 0.000 0.500
Ir: 0.333 0.667 0.750
Ir: 0.667 0.333 0.250
O: 0.054 0.367 0.620
O: 0.054 0.687 0.880
O: 0.313 0.367 0.880
O: 0.313 0.946 0.620
O: 0.367 0.054 0.120
O: 0.367 0.313 0.380
O: 0.633 0.687 0.620
O: 0.633 0.946 0.880
O: 0.687 0.054 0.380
O: 0.687 0.633 0.120
O: 0.946 0.313 0.120
O: 0.946 0.633 0.380

Properties
- Uncorrected energy: -6.6983 eV/atom
- Space group: P-31c
- M_tot: 1.20 μB/f.u.